(1)
This record from Alexandria via LeMat-Bulk describes Nb2CrAg after structural relaxation. The functional is PBE.

Calculated values
Formation energy from the elements (eV/atom): 0.389
Polymorph energy (0 for the lowest one) (meV per atom): 0.0
Volume (Å³ per cell): 66.5
M_tot (Bohr magnetons per cell): 0.0

POSCAR file:
```
Nb2CrAg
1.0
3.072 -3.242 -0.854
-1.091 -4.376 0.583
-0.506 -2.718 -3.611
Nb Ag Cr
2 1 1
direct
0.750 0.750 0.750
0.250 0.250 0.250
0.500 0.500 0.500
0.000 0.000 0.000
```

=====

(2)
This record from Alexandria via LeMat-Bulk describes Nb3CrAg after structural relaxation. The functional is PBE.

Calculated values
Formation energy from the elements (eV/atom): 0.888
Polymorph energy (0 for the lowest one) (meV per atom): 0.0
Volume (Å³ per cell): 98.5
M_tot (Bohr magnetons per cell): 0.0

POSCAR file:
```
Nb3CrAg
1.0
4.619 0.000 0.000
0.000 4.619 0.000
0.000 0.000 4.619
Nb Cr Ag
3 1 1
direct
0.500 0.000 0.000
0.000 0.000 0.500
0.000 0.500 0.000
0.000 0.000 0.000
0.500 0.500 0.500
```

=====

(3)
This record from Alexandria via LeMat-Bulk describes Nb2CrAg after structural relaxation. The functional is PBE.

Calculated values
Formation energy from the elements (eV/atom): 0.796
Polymorph energy (0 for the lowest one) (meV per atom): 406.3
Volume (Å³ per cell): 148.5
M_tot (Bohr magnetons per cell): 5.4

POSCAR file:
```
Nb2CrAg
1.0
-1.689 3.471 -0.043
-0.728 -0.307 3.779
7.556 5.872 3.905
Nb Cr Ag
4 2 2
direct
0.375 0.385 0.750
0.615 0.125 0.250
0.875 0.865 0.750
0.135 0.625 0.250
0.250 0.750 0.500
0.500 0.500 0.000
0.750 0.250 0.500
0.000 0.000 0.000
```

=====

(4)
This record from Alexandria via LeMat-Bulk describes RbNb2CrAg after structural relaxation. The functional is PBE.

Calculated values
Formation energy from the elements (eV/atom): 2.557
Volume (Å³ per cell): 148.0
M_tot (Bohr magnetons per cell): 1.9

POSCAR file:
```
RbNb2CrAg
1.0
5.079 0.000 0.000
0.000 5.740 0.000
0.000 0.000 5.079
Nb Rb Cr Ag
2 1 1 1
direct
0.500 0.000 0.000
0.000 0.000 0.500
0.000 0.500 0.000
0.500 0.500 0.500
0.000 0.000 0.000
```

=====

(5)
This record from Alexandria via LeMat-Bulk describes NbCrAgRh2 after structural relaxation. The functional is PBE.

Calculated values
Formation energy from the elements (eV/atom): 1.903
Volume (Å³ per cell): 98.7
M_tot (Bohr magnetons per cell): 0.0

POSCAR file:
```
NbCrAgRh2
1.0
-1.306 4.449 0.938
-1.662 0.371 -4.071
-4.183 -1.558 1.566
Ag Rh Cr Nb
1 2 1 1
direct
0.000 0.000 0.000
0.500 0.000 0.000
0.000 0.000 0.500
0.000 0.500 0.000
0.500 0.500 0.500
```

=====

(6)
This record from Alexandria via LeMat-Bulk describes NbCr3Ag2S8 after structural relaxation. The functional is PBE.

Calculated values
Raw formation energy (eV per atom): -0.58
Polymorph energy (0 for the lowest one) (meV per atom): 31.6
Volume (Å³ per cell): 555.1
M_tot (Bohr magnetons per cell): 18.0

POSCAR file:
```
NbCr3Ag2S8
1.0
5.974 0.000 0.000
0.000 6.907 -0.821
0.000 5.185 12.836
S Cr Nb Ag
16 6 2 4
direct
0.667 0.190 0.605
0.333 0.810 0.395
0.671 0.699 0.605
0.165 0.953 0.597
0.159 0.558 0.895
0.667 0.810 0.895
0.841 0.558 0.395
0.841 0.442 0.105
0.329 0.301 0.395
0.835 0.953 0.097
0.835 0.047 0.403
0.671 0.301 0.895
0.329 0.699 0.105
0.159 0.442 0.605
0.165 0.047 0.903
0.333 0.190 0.105
0.998 0.253 0.501
0.002 0.747 0.499
0.500 0.000 0.000
0.998 0.747 0.999
0.002 0.253 0.001
0.500 0.000 0.500
0.500 0.500 0.500
0.500 0.500 0.000
0.075 0.500 0.250
0.380 0.000 0.750
0.925 0.500 0.750
0.620 0.000 0.250
```